This record from Alexandria via LeMat-Bulk describes a relaxed structure of Nd3SmEr3. The functional is PBE-GGA.

The structure in CIF format:
```
data_Nd3SmEr3
_cell_length_a 8.7028
_cell_length_b 8.7028
_cell_length_c 22.0809
_cell_angle_alpha 90.00
_cell_angle_beta 90.00
_cell_angle_gamma 120.00
_symmetry_space_group_name_H-M 'R -3'
_symmetry_Int_Tables_number 148
_symmetry_space_group_name_Hall '-R 3'
loop_
_atom_site_label
_atom_site_type_symbol
_atom_site_fract_x
_atom_site_fract_y
_atom_site_fract_z
Nd1 Nd 0.0470 0.5997 0.3814
Sm1 Sm 0.0000 0.0000 0.1561
Er1 Er 0.0052 0.7740 0.5581
```

Computed properties:
Polymorph energy (0 for the lowest one) (meV/atom): 173.8
M_tot (μB/cell): 0.00
Formation energy (meV/atom): 195.5
Total DFT energy (no corrections) (eV/cell): -188.06
Calculated volume (Å³/atom): 34.5